No. 1
# CaSc3Sb (meta-GGA SCAN, single point on PBEsol structure)
data_CaSc3Sb
_chemical_formula_sum 'Ca1 Sc3 Sb1'
_cell_length_a 5.018
_cell_length_b 5.018
_cell_length_c 5.018
_cell_angle_alpha 90.00
_cell_angle_beta 90.00
_cell_angle_gamma 90.00
_space_group_name_H-M_alt 'P 1'
_space_group_IT_number 1
loop_
_space_group_symop_operation_xyz
'x,y,z'
loop_
_atom_site_label
_atom_site_type_symbol
_atom_site_fract_x
_atom_site_fract_y
_atom_site_fract_z
_atom_site_occupancy
Ca1 Ca 0.000 0.000 0.000 1
Sc1 Sc 0.000 0.000 0.500 1
Sc2 Sc 0.000 0.500 0.000 1
Sc3 Sc 0.500 0.000 0.000 1
Sb1 Sb 0.500 0.500 0.500 1
# energy relative to the elements, uncorrected = 1011 meV per atom
# uncorrected energy = -84.6 eV per cell
# M_tot = 0.00 μB/f.u.


No. 2
# KFeIr2 (meta-GGA SCAN, single point on PBEsol structure)
data_KFeIr2
_chemical_formula_sum 'K1 Fe1 Ir2'
_cell_length_a 3.889
_cell_length_b 3.889
_cell_length_c 4.295
_cell_angle_alpha 90.00
_cell_angle_beta 90.00
_cell_angle_gamma 90.00
_space_group_name_H-M_alt 'P 1'
_space_group_IT_number 1
loop_
_space_group_symop_operation_xyz
'x,y,z'
loop_
_atom_site_label
_atom_site_type_symbol
_atom_site_fract_x
_atom_site_fract_y
_atom_site_fract_z
_atom_site_occupancy
K1 K 0.000 0.000 0.000 1
Fe1 Fe 0.500 0.500 0.000 1
Ir1 Ir 0.000 0.500 0.500 1
Ir2 Ir 0.500 0.000 0.500 1
# relative energy among the computed polymorphs = 3.121 eV per formula unit
# uncorrected energy = -164.0 eV per cell
# M_tot = 4.06 μB/f.u.
# energy of formation = 1176.4 meV/atom


No. 3
# LiYBr4 (meta-GGA SCAN, single point on PBEsol structure)
data_LiYBr4
_chemical_formula_sum 'Li1 Y1 Br4'
_cell_length_a 6.224
_cell_length_b 6.224
_cell_length_c 6.224
_cell_angle_alpha 60.00
_cell_angle_beta 60.00
_cell_angle_gamma 60.00
_space_group_name_H-M_alt 'P 1'
_space_group_IT_number 1
loop_
_space_group_symop_operation_xyz
'x,y,z'
loop_
_atom_site_label
_atom_site_type_symbol
_atom_site_fract_x
_atom_site_fract_y
_atom_site_fract_z
_atom_site_occupancy
Li1 Li 0.000 0.000 0.000 1
Y1 Y 0.250 0.250 0.250 1
Br1 Br 0.125 0.625 0.625 1
Br2 Br 0.625 0.125 0.625 1
Br3 Br 0.625 0.625 0.125 1
Br4 Br 0.625 0.625 0.625 1
# energy relative to the elements, uncorrected = -147 meV per atom
# uncorrected energy = -109.0 eV per cell
# M_tot = 0.02 μB/f.u.


No. 4
# Fe2WBr (meta-GGA SCAN, single point on PBEsol structure)
data_Fe2WBr
_chemical_formula_sum 'Fe2 W1 Br1'
_cell_length_a 2.931
_cell_length_b 3.016
_cell_length_c 6.767
_cell_angle_alpha 90.00
_cell_angle_beta 90.00
_cell_angle_gamma 90.00
_space_group_name_H-M_alt 'P 1'
_space_group_IT_number 1
loop_
_space_group_symop_operation_xyz
'x,y,z'
loop_
_atom_site_label
_atom_site_type_symbol
_atom_site_fract_x
_atom_site_fract_y
_atom_site_fract_z
_atom_site_occupancy
Fe1 Fe 0.000 0.000 0.196 1
Fe2 Fe 0.000 0.000 0.804 1
W1 W 0.500 0.500 0.000 1
Br1 Br 0.500 0.000 0.500 1
# relative energy among the computed polymorphs = 0.000 eV per formula unit
# energy relative to the elements, uncorrected = 666 meV per atom
# uncorrected energy = -122.7 eV per cell
# M_tot = 0.00 μB/f.u.


No. 5
# La2VFeO6 (meta-GGA SCAN, single point on PBEsol structure)
data_La2VFeO6
_chemical_formula_sum 'La4 V2 Fe2 O12'
_cell_length_a 5.421
_cell_length_b 5.371
_cell_length_c 9.363
_cell_angle_alpha 90.00
_cell_angle_beta 125.32
_cell_angle_gamma 90.00
_space_group_name_H-M_alt 'P 1'
_space_group_IT_number 1
loop_
_space_group_symop_operation_xyz
'x,y,z'
loop_
_atom_site_label
_atom_site_type_symbol
_atom_site_fract_x
_atom_site_fract_y
_atom_site_fract_z
_atom_site_occupancy
La1 La 0.246 0.017 0.249 1
La2 La 0.246 0.483 0.749 1
La3 La 0.754 0.517 0.251 1
La4 La 0.754 0.983 0.751 1
V1 V 0.500 0.000 0.000 1
V2 V 0.500 0.500 0.500 1
Fe1 Fe 0.000 0.000 0.500 1
Fe2 Fe 0.000 0.500 0.000 1
O1 O 0.198 0.231 0.968 1
O2 O 0.198 0.269 0.468 1
O3 O 0.237 0.729 0.967 1
O4 O 0.237 0.771 0.467 1
O5 O 0.311 0.005 0.749 1
O6 O 0.311 0.495 0.249 1
O7 O 0.689 0.505 0.751 1
O8 O 0.689 0.995 0.251 1
O9 O 0.763 0.229 0.533 1
O10 O 0.763 0.271 0.033 1
O11 O 0.802 0.731 0.532 1
O12 O 0.802 0.769 0.032 1
# energy relative to the elements, uncorrected = -3038 meV per atom
# uncorrected energy = -379.2 eV per cell
# M_tot = 1.00 μB/f.u.


No. 6
# Li5Ti6FeO16 (meta-GGA SCAN, single point on PBEsol structure)
data_Li5Ti6FeO16
_chemical_formula_sum 'Li5 Ti6 Fe1 O16'
_cell_length_a 5.857
_cell_length_b 5.894
_cell_length_c 8.339
_cell_angle_alpha 90.00
_cell_angle_beta 90.70
_cell_angle_gamma 90.00
_space_group_name_H-M_alt 'P 1'
_space_group_IT_number 1
loop_
_space_group_symop_operation_xyz
'x,y,z'
loop_
_atom_site_label
_atom_site_type_symbol
_atom_site_fract_x
_atom_site_fract_y
_atom_site_fract_z
_atom_site_occupancy
Li1 Li 0.000 0.000 0.000 1
Li2 Li 0.035 0.500 0.259 1
Li3 Li 0.273 0.500 0.878 1
Li4 Li 0.505 0.500 0.497 1
Li5 Li 0.758 0.000 0.379 1
Ti1 Ti 0.017 0.258 0.626 1
Ti2 Ti 0.017 0.742 0.626 1
Ti3 Ti 0.254 0.000 0.370 1
Ti4 Ti 0.516 0.251 0.138 1
Ti5 Ti 0.516 0.749 0.138 1
Ti6 Ti 0.790 0.500 0.886 1
Fe1 Fe 0.527 0.000 0.763 1
O1 O 0.001 0.270 0.861 1
O2 O 0.001 0.730 0.861 1
O3 O 0.024 0.227 0.401 1
O4 O 0.024 0.773 0.401 1
O5 O 0.229 0.500 0.631 1
O6 O 0.254 0.000 0.626 1
O7 O 0.279 0.000 0.139 1
O8 O 0.306 0.500 0.119 1
O9 O 0.493 0.230 0.360 1
O10 O 0.493 0.770 0.360 1
O11 O 0.530 0.260 0.888 1
O12 O 0.530 0.740 0.888 1
O13 O 0.725 0.000 0.130 1
O14 O 0.748 0.500 0.118 1
O15 O 0.787 0.000 0.632 1
O16 O 0.787 0.500 0.639 1
# relative energy among the computed polymorphs = 0.981 eV per formula unit
# energy relative to the elements, uncorrected = -2915 meV per atom
# uncorrected energy = -307.6 eV per cell
# M_tot = 5.00 μB/f.u.